(1)
# SrCaTe PBE optimized geometry
data_SrCaTe
_chemical_formula_sum 'Sr4 Ca4 Te4'
_symmetry_space_group_name_H-M 'F -4 3 m'
_symmetry_Int_Tables_number 216
_symmetry_space_group_name_Hall 'F -4 2 3'
_cell_length_a 8.0866
_cell_length_b 8.0866
_cell_length_c 8.0866
_cell_angle_alpha 90.00
_cell_angle_beta 90.00
_cell_angle_gamma 90.00
loop_
_atom_site_label
_atom_site_fract_x
_atom_site_fract_y
_atom_site_fract_z
_atom_site_occupancy
Sr1 0.0000 0.0000 0.0000 1
Ca1 0.2500 0.2500 0.7500 1
Te1 0.2500 0.2500 0.2500 1
# E_form (uncorrected)	-0.314	eV/atom
# crystal system	cubic
# electronic total energy	-31.07	eV/cell
# distance to the lowest polymorph of the same formula	698	meV per atom
# total magnetization	0.000	μB/cell

***

(2)
# Dy2ErNpSb4 PBE optimized geometry
data_Dy2ErNpSb4
_chemical_formula_sum 'Dy2 Er1 Np1 Sb4'
_symmetry_space_group_name_H-M 'P 1 2/m 1'
_symmetry_Int_Tables_number 10
_symmetry_space_group_name_Hall '-P 2y'
_cell_length_a 7.5848
_cell_length_b 4.3781
_cell_length_c 7.5893
_cell_angle_alpha 90.00
_cell_angle_beta 109.29
_cell_angle_gamma 90.00
loop_
_atom_site_label
_atom_site_fract_x
_atom_site_fract_y
_atom_site_fract_z
_atom_site_occupancy
Dy1 0.0000 0.0000 0.0000 1
Dy2 0.5000 0.5000 0.0000 1
Er1 0.0000 0.5000 0.5000 1
Np1 0.5000 0.0000 0.5000 1
Sb1 0.2485 0.5000 0.2499 1
Sb2 0.2488 0.0000 0.7483 1
# E_form (uncorrected)	-0.879	eV/atom
# crystal system	monoclinic
# electronic total energy	-50.23	eV/cell
# total magnetization	3.904	μB/cell

***

(3)
# Pr6Ni2RhCl3 PBE optimized geometry
data_Pr6Ni2RhCl3
_chemical_formula_sum 'Pr12 Ni4 Rh2 Cl6'
_symmetry_space_group_name_H-M 'C 1 2/m 1'
_symmetry_Int_Tables_number 12
_symmetry_space_group_name_Hall '-C 2y'
_cell_length_a 19.1949
_cell_length_b 4.0928
_cell_length_c 8.9196
_cell_angle_alpha 90.00
_cell_angle_beta 110.06
_cell_angle_gamma 90.00
loop_
_atom_site_label
_atom_site_fract_x
_atom_site_fract_y
_atom_site_fract_z
_atom_site_occupancy
Pr1 0.0119 0.0000 0.2281 1
Pr2 0.1577 0.5000 0.1185 1
Pr3 0.1750 0.5000 0.5611 1
Ni1 0.1687 0.0000 0.3421 1
Rh1 0.0000 0.5000 0.0000 1
Cl1 0.0000 0.5000 0.5000 1
Cl2 0.1677 0.0000 0.8327 1
# E_form (uncorrected)	-0.985	eV/atom
# crystal system	monoclinic
# electronic total energy	-129.89	eV/cell
# total magnetization	0.000	μB/cell

***

(4)
# HfAg2Bi PBE optimized geometry
data_HfAg2Bi
_chemical_formula_sum 'Hf3 Ag6 Bi3'
_symmetry_space_group_name_H-M 'R -3 m'
_symmetry_Int_Tables_number 166
_symmetry_space_group_name_Hall '-R 3 2"'
_cell_length_a 3.1380
_cell_length_b 3.1380
_cell_length_c 33.0689
_cell_angle_alpha 90.00
_cell_angle_beta 90.00
_cell_angle_gamma 120.00
loop_
_atom_site_label
_atom_site_fract_x
_atom_site_fract_y
_atom_site_fract_z
_atom_site_occupancy
Hf1 0.0000 0.0000 0.0000 1
Ag1 0.0000 0.0000 0.0837 1
Bi1 0.0000 0.0000 0.5000 1
# crystal system	trigonal
# electronic total energy	-53.68	eV/cell
# total magnetization	0.000	μB/cell
# E_form	411	meV/atom

***

Computed theoretical density, in the same sequence as the records: 3.21 8.49 5.91 10.66 g cm⁻³.